VASP calculation (PBE) on a geometry-optimized CsHgNO2 structure.

## Properties
Formation energy from raw total energies ... 1.5266 eV/atom
V ... 90 Å³ per cell
E_tot ... -2.3528 eV per atom

a = 4.4260 Å, b = 4.4260 Å, c = 4.5739 Å
α = 90.00°, β = 90.00°, γ = 90.00°
Fractional coordinates of all 5 atoms:
1 Cs 0.0000 0.0000 0.0000
2 Hg 0.5000 0.5000 0.5000
3 N 0.0000 0.0000 0.5000
4 O 0.0000 0.5000 0.0000
5 O 0.5000 0.0000 0.0000

VASP calculation (PBE) on a geometry-optimized PmGdSiNi structure.

## Properties
Formation energy from raw total energies ... -0.4106 eV/atom
V ... 88 Å³ per cell
E_tot ... -7.9196 eV per atom

a = 4.9858 Å, b = 4.9858 Å, c = 4.9858 Å
α = 60.00°, β = 60.00°, γ = 60.00°
Fractional coordinates of all 4 atoms:
1 Pm 0.0000 0.0000 0.0000
2 Gd 0.5000 0.5000 0.5000
3 Si 0.7500 0.7500 0.7500
4 Ni 0.2500 0.2500 0.2500

VASP calculation (PBE) on a geometry-optimized Ca2ThSe4 structure.

## Properties
Formation energy from raw total energies ... -1.8432 eV/atom
V ... 393 Å³ per cell
Polymorph energy (0 for the lowest one) ... 10 meV per atom
E_tot ... -5.4662 eV per atom

a = 7.2153 Å, b = 7.2153 Å, c = 13.9046 Å
α = 90.00°, β = 90.00°, γ = 147.14°
Fractional coordinates of all 14 atoms:
1 Ca 0.1285 0.8715 0.5653
2 Ca 0.1285 0.8715 0.9347
3 Ca 0.8715 0.1285 0.0653
4 Ca 0.8715 0.1285 0.4347
5 Th 0.3793 0.6207 0.7500
6 Th 0.6207 0.3793 0.2500
7 Se 0.0281 0.9719 0.7500
8 Se 0.2206 0.7794 0.1255
9 Se 0.2206 0.7794 0.3745
10 Se 0.5000 0.5000 0.0000
11 Se 0.5000 0.5000 0.5000
12 Se 0.7794 0.2206 0.6255
13 Se 0.7794 0.2206 0.8745
14 Se 0.9719 0.0281 0.2500

VASP calculation (PBE) on a geometry-optimized Hf6TlP structure.

## Properties
V ... 182 Å³ per cell
E_tot ... -8.5582 eV per atom
Energy of formation ... -0.121 eV per atom

a = 5.8908 Å, b = 5.8908 Å, c = 5.8908 Å
α = 103.98°, β = 103.98°, γ = 103.98°
Fractional coordinates of all 8 atoms:
1 Hf 0.2176 0.2176 0.6418
2 Hf 0.2176 0.6418 0.2176
3 Hf 0.3582 0.7824 0.7824
4 Hf 0.6418 0.2176 0.2176
5 Hf 0.7824 0.3582 0.7824
6 Hf 0.7824 0.7824 0.3582
7 Tl 0.0000 0.0000 0.0000
8 P 0.5000 0.5000 0.5000

VASP calculation (PBE) on a geometry-optimized MgAl3Pd structure.

## Properties
V ... 363 Å³ per cell
Polymorph energy (0 for the lowest one) ... 93 meV per atom
E_tot ... -3.8921 eV per atom
Energy of formation ... -0.289 eV per atom

a = 7.6641 Å, b = 5.3926 Å, c = 8.8137 Å
α = 90.00°, β = 93.81°, γ = 90.00°
Fractional coordinates of all 20 atoms:
1 Mg 0.1208 0.0931 0.2109
2 Mg 0.1208 0.4069 0.7109
3 Mg 0.8792 0.5931 0.2891
4 Mg 0.8792 0.9069 0.7891
5 Al 0.1344 0.6138 0.0507
6 Al 0.1344 0.8862 0.5507
7 Al 0.2622 0.5561 0.3446
8 Al 0.2622 0.9439 0.8446
9 Al 0.4410 0.1512 0.6158
10 Al 0.4410 0.3488 0.1158
11 Al 0.5590 0.6512 0.8842
12 Al 0.5590 0.8488 0.3842
13 Al 0.7378 0.0561 0.1554
14 Al 0.7378 0.4439 0.6554
15 Al 0.8656 0.1138 0.4493
16 Al 0.8656 0.3862 0.9493
17 Pd 0.4149 0.6493 0.6104
18 Pd 0.4149 0.8507 0.1104
19 Pd 0.5851 0.1493 0.8896
20 Pd 0.5851 0.3507 0.3896

VASP calculation (PBE) on a geometry-optimized Er7In4Pb structure.

## Properties
V ... 359 Å³ per cell
E_tot ... -4.0301 eV per atom
Energy of formation ... -0.147 eV per atom

a = 7.6806 Å, b = 7.6806 Å, c = 11.1136 Å
α = 124.43°, β = 124.43°, γ = 43.60°
Fractional coordinates of all 12 atoms:
1 Er 0.0000 0.0000 0.0000
2 Er 0.1567 0.1567 0.5901
3 Er 0.2851 0.2851 0.1307
4 Er 0.4288 0.4288 0.6753
5 Er 0.5712 0.5712 0.3247
6 Er 0.7149 0.7149 0.8693
7 Er 0.8433 0.8433 0.4099
8 In 0.0643 0.0643 0.7735
9 In 0.2055 0.2055 0.3410
10 In 0.7945 0.7945 0.6590
11 In 0.9357 0.9357 0.2265
12 Pb 0.5000 0.5000 0.0000